Record 1
The following is a PBE calculation of an optimized crystal structure of Na12Hg3H5, from Alexandria.

Cell: 13.572 13.572 13.572 Å, 109.47 109.47 109.47°
Fractional positions:
H  0.500  0.500  0.500
H  0.750  0.125  0.875
H  0.875  0.250  0.625
H  0.500  0.000  0.000
H  0.500  0.500  0.000
H  0.500  0.000  0.500
H  0.250  0.875  0.125
H  0.375  0.250  0.125
H  0.250  0.375  0.625
H  0.000  0.000  0.000
H  0.625  0.875  0.250
H  0.000  0.500  0.000
H  0.000  0.500  0.500
H  0.000  0.000  0.500
H  0.875  0.625  0.750
H  0.625  0.750  0.875
H  0.125  0.375  0.250
H  0.375  0.125  0.750
H  0.125  0.750  0.375
H  0.750  0.625  0.375
Hg  0.625  0.250  0.375
Hg  0.125  0.875  0.750
Hg  0.375  0.750  0.625
Hg  0.750  0.875  0.625
Hg  0.625  0.375  0.750
Hg  0.875  0.125  0.250
Hg  0.750  0.375  0.125
Hg  0.375  0.625  0.250
Hg  0.125  0.250  0.875
Hg  0.875  0.750  0.125
Hg  0.250  0.625  0.875
Hg  0.250  0.125  0.375
Na  0.112  0.700  0.514
Na  0.412  0.112  0.598
Na  0.186  0.098  0.986
Na  0.598  0.612  0.412
Na  0.814  0.912  0.300
Na  0.112  0.412  0.098
Na  0.686  0.486  0.598
Na  0.314  0.514  0.402
Na  0.814  0.902  0.014
Na  0.986  0.598  0.186
Na  0.912  0.098  0.612
Na  0.098  0.186  0.486
Na  0.514  0.200  0.112
Na  0.800  0.314  0.912
Na  0.388  0.402  0.088
Na  0.902  0.088  0.888
Na  0.014  0.402  0.814
Na  0.402  0.388  0.588
Na  0.402  0.014  0.314
Na  0.088  0.186  0.200
Na  0.888  0.300  0.486
Na  0.888  0.588  0.902
Na  0.186  0.088  0.700
Na  0.300  0.412  0.814
Na  0.800  0.486  0.388
Na  0.700  0.112  0.014
Na  0.200  0.514  0.612
Na  0.598  0.986  0.686
Na  0.700  0.588  0.186
Na  0.088  0.902  0.388
Na  0.412  0.300  0.314
Na  0.514  0.314  0.902
Na  0.612  0.014  0.200
Na  0.098  0.912  0.112
Na  0.912  0.814  0.800
Na  0.388  0.986  0.800
Na  0.588  0.700  0.686
Na  0.200  0.686  0.088
Na  0.986  0.388  0.300
Na  0.486  0.686  0.098
Na  0.300  0.888  0.986
Na  0.314  0.800  0.412
Na  0.014  0.612  0.700
Na  0.686  0.200  0.588
Na  0.612  0.598  0.912
Na  0.588  0.888  0.402
Na  0.486  0.800  0.888
Na  0.902  0.814  0.514


Record 2
The following is a PBE calculation of an optimized crystal structure of Y3Os, from Alexandria.

Formation energy in meV per atom: 61

Cell: 6.931 6.931 4.785 Å, 90.00 90.00 120.00°
Fractional positions:
Y  0.638  0.819  0.750
Y  0.362  0.181  0.250
Y  0.819  0.638  0.250
Y  0.181  0.819  0.750
Y  0.181  0.362  0.750
Y  0.819  0.181  0.250
Os  0.667  0.333  0.750
Os  0.333  0.667  0.250


Record 3
The following is a PBE calculation of an optimized crystal structure of NaRe3P2, from Alexandria.

Formation energy in meV per atom: -232

Cell: 3.004 7.009 10.274 Å, 107.55 90.00 102.37°
Fractional positions:
Na  0.115  0.230  0.007
Na  0.885  0.770  0.993
P  0.221  0.441  0.812
P  0.779  0.559  0.188
P  0.540  0.080  0.234
P  0.460  0.920  0.766
Re  0.397  0.793  0.336
Re  0.072  0.144  0.429
Re  0.928  0.856  0.571
Re  0.727  0.454  0.391
Re  0.273  0.546  0.609
Re  0.603  0.207  0.664


Record 4
The following is a PBE calculation of an optimized crystal structure of CdPH2N, from Alexandria.

Cell: 3.453 4.138 3.453 Å, 90.00 90.00 90.00°
Fractional positions:
H  0.000  0.000  0.500
H  0.500  0.000  0.000
N  0.000  0.500  0.000
P  0.000  0.000  0.000
Cd  0.500  0.500  0.500


Record 5
The following is a PBE calculation of an optimized crystal structure of SnSb2Pd4, from Alexandria.

ΔE_f (raw) in eV/f.u.: 1.10
Relative energy among the computed polymorphs in meV per atom: 497

Cell: 4.967 4.967 7.638 Å, 71.03 71.03 90.00°
Fractional positions:
Pd  0.500  0.000  0.000
Pd  0.809  0.809  0.381
Pd  0.191  0.191  0.619
Pd  0.000  0.500  0.000
Sb  0.619  0.619  0.762
Sb  0.381  0.381  0.238
Sn  0.000  0.000  0.000


Record 6
The following is a PBE calculation of an optimized crystal structure of K2ZrPbO, from Alexandria.

ΔE_f (raw) in eV/f.u.: 3.54

Cell: 7.055 7.055 4.368 Å, 90.00 90.00 90.00°
Last column: magnetic moment on the atom in μB.
Fractional positions:
O  0.000  0.000  0.500  0.03
Zr  0.500  0.500  0.500  1.71
Pb  0.000  0.000  0.000  -0.06
K  0.000  0.500  0.000  0.02
K  0.500  0.000  0.000  0.02


Number 1: V 1925 Å³/cell, DFT total energy -1.696 eV/atom. Number 2: V 199 Å³/cell, DFT total energy -7.595 eV/atom. Number 3: V 201 Å³/cell, DFT total energy -8.479 eV/atom. Number 4: V 49 Å³/cell, DFT total energy -3.698 eV/atom. Number 5: V 167 Å³/cell, DFT total energy -4.560 eV/atom. Number 6: V 217 Å³/cell, DFT total energy -3.175 eV/atom.